A plane-wave DFT calculation with PBE-GGA was carried out for NbV2S3 after structural relaxation.

Calculated values
The value obtained for the uncorrected formation energy is -0.88 eV per atom. As for the space group: Pmc2_1, No. 26. The calculation puts the total magnetization at 0.60 μB per formula unit.

a b c (Å): 3.2103 5.6429 10.1108
angles (deg): 90.00 90.00 90.00
Sites, in units of the cell vectors:
1 Nb 0.0000 0.0538 0.9167
2 Nb 0.0000 0.5538 0.0833
3 V 0.0000 0.0286 0.2217
4 V 0.5000 0.9418 0.4487
5 V 0.0000 0.5286 0.7783
6 V 0.5000 0.4418 0.5513
7 S 0.5000 0.2144 0.0852
8 S 0.5000 0.2212 0.7444
9 S 0.0000 0.2414 0.4135
10 S 0.5000 0.7144 0.9148
11 S 0.5000 0.7212 0.2556
12 S 0.0000 0.7414 0.5865